This record from Alexandria describes a geometry-optimized CaMnSO structure. The functional is PBE+U.

## Properties
- total magnetic moment (μB per formula unit) = 5.00
- space group = R3m
- energy (eV per atom) = -6.39

a b c (Å): 3.614 3.614 6.222
angles (deg): 73.12 73.12 60.00
Positions (direct):
Mn: 0.744 0.744 0.769
S: 0.491 0.491 0.526
Ca: 0.266 0.266 0.203
O: 0.999 0.999 0.002